Fe5O3F7: relaxed, GGA+U.

Cell lengths 4.706, 4.727, 15.361 Å; angles 91.13, 90.71, 91.34 degrees
Space group P-1 (No. 2)
Asymmetric unit:
1 Fe 0.000 0.000 0.000 x1
2 Fe 0.011 0.011 0.201 x2
3 Fe 0.039 0.964 0.396 x2
4 Fe 0.463 0.461 0.896 x2
5 Fe 0.476 0.472 0.305 x2
6 Fe 0.500 0.500 0.500 x1
7 O 0.165 0.165 0.897 x2
8 O 0.195 0.186 0.296 x2
9 O 0.323 0.654 0.401 x2
10 F 0.208 0.205 0.502 x2
11 F 0.211 0.221 0.707 x2
12 F 0.213 0.218 0.101 x2
13 F 0.294 0.701 0.207 x2
14 F 0.298 0.705 0.000 x2
15 F 0.302 0.704 0.793 x2
16 F 0.302 0.716 0.597 x2

Total magnetization   0.33 μB/atom
DFT total energy   -164.7 eV/cell
V   11.38 Å³/atom